No. 1
{
  "formula": "CdCuP2",
  "functional": "PBE-GGA",
  "state": "relaxed",
  "spacegroup": "Immm, No. 71",
  "magnetic_moment_mub_per_atom": 0.000,
  "formation_energy_kj_per_mol_atoms": 32,
  "dft_energy_ev_per_fu": -14.5,
  "cell": [[-1.882, 2.262, 4.767], [1.882, -2.262, 4.767], [1.882, 2.262, -4.767]],
  "species": ["Cd", "Cu", "P", "P"],
  "frac_coords": [[0.000, 0.000, 0.000], [0.500, 0.500, 0.000], [0.356, 0.856, 0.500], [0.644, 0.144, 0.500]]
}

No. 2
{
  "formula": "CdCuP2",
  "functional": "PBE-GGA",
  "state": "relaxed",
  "spacegroup": "Imm2, No. 44",
  "magnetic_moment_mub_per_atom": 0.000,
  "formation_energy_kj_per_mol_atoms": 20,
  "dft_energy_ev_per_fu": -15.0,
  "cell": [[-1.675, 1.844, 5.691], [1.675, -1.844, 5.691], [1.675, 1.844, -5.691]],
  "species": ["Cd", "Cu", "P", "P"],
  "frac_coords": [[0.000, 0.000, 0.000], [0.294, 0.794, 0.500], [0.645, 0.645, 0.000], [0.790, 0.290, 0.500]]
}

No. 3
{
  "formula": "Cd3Cu2P10",
  "functional": "PBE-GGA",
  "state": "relaxed",
  "spacegroup": "R3m, No. 160",
  "magnetic_moment_mub_per_atom": 0.000,
  "formation_energy_kj_per_mol_atoms": -11,
  "dft_energy_ev_per_fu": -66.8,
  "cell": [[3.746, 2.163, 6.101], [-3.746, 2.163, 6.101], [0.000, -4.325, 6.101]],
  "species": ["Cd", "Cd", "Cd", "Cu", "Cu", "P", "P", "P", "P", "P", "P", "P", "P", "P", "P"],
  "frac_coords": [[0.079, 0.461, 0.461], [0.461, 0.079, 0.461], [0.461, 0.461, 0.079], [0.478, 0.478, 0.478], [0.863, 0.863, 0.863], [0.352, 0.876, 0.876], [0.357, 0.357, 0.858], [0.357, 0.858, 0.357], [0.479, 0.993, 0.993], [0.858, 0.357, 0.357], [0.876, 0.352, 0.876], [0.876, 0.876, 0.352], [0.992, 0.992, 0.992], [0.993, 0.479, 0.993], [0.993, 0.993, 0.479]]
}

No. 4
{
  "formula": "CdCu2P",
  "functional": "PBE-GGA",
  "state": "relaxed",
  "de_polymorph_mev_per_atom": 36,
  "spacegroup": "P4mm, No. 99",
  "magnetic_moment_mub_per_atom": 0.000,
  "formation_energy_kj_per_mol_atoms": 15,
  "dft_energy_ev_per_fu": -13.9,
  "cell": [[3.230, 0.000, 0.000], [0.000, 3.230, 0.000], [0.000, 0.000, 5.929]],
  "species": ["Cd", "Cu", "Cu", "P"],
  "frac_coords": [[0.000, 0.000, 0.000], [0.000, 0.000, 0.505], [0.500, 0.500, 0.272], [0.500, 0.500, 0.661]]
}

No. 5
{
  "formula": "CdCuP2",
  "functional": "PBE-GGA",
  "state": "relaxed",
  "spacegroup": "I4/mmm, No. 139",
  "magnetic_moment_mub_per_atom": 0.000,
  "formation_energy_kj_per_mol_atoms": 49,
  "dft_energy_ev_per_fu": -13.8,
  "cell": [[-2.057, 2.057, 3.921], [2.057, -2.057, 3.921], [2.057, 2.057, -3.921]],
  "species": ["Cd", "Cu", "P", "P"],
  "frac_coords": [[0.000, 0.000, 0.000], [0.500, 0.500, 0.000], [0.250, 0.750, 0.500], [0.750, 0.250, 0.500]]
}

No. 6
{
  "formula": "CdCu3P",
  "functional": "PBE-GGA",
  "state": "relaxed",
  "de_polymorph_mev_per_atom": 0,
  "spacegroup": "Pm-3m, No. 221",
  "magnetic_moment_mub_per_atom": 0.000,
  "formation_energy_kj_per_mol_atoms": 17,
  "dft_energy_ev_per_fu": -17.7,
  "cell": [[4.420, 0.000, 0.000], [0.000, 4.420, 0.000], [0.000, 0.000, 4.420]],
  "species": ["Cd", "Cu", "Cu", "Cu", "P"],
  "frac_coords": [[0.000, 0.000, 0.000], [0.000, 0.500, 0.500], [0.500, 0.000, 0.500], [0.500, 0.500, 0.000], [0.500, 0.500, 0.500]]
}